Record 1
The following is a DFT calculation (PBE-GGA) of a geometry-optimized CoSb2Br structure.

Lattice parameters (Å, degrees): 8.322 8.322 8.322 156.04 156.57 33.76
Sites, in units of the cell vectors:
Br  0.563  0.563  0.000
Co  0.797  0.297  0.500
Sb  0.914  0.914  0.000
Sb  0.226  0.726  0.500

Summary:
Total magnetic moment in μB/f.u.: 0.01
ΔE_f (raw) in eV per atom: 0.0877
Energy in eV/atom: -4.168

=====

Record 2
The following is a DFT calculation (PBE-GGA) of a geometry-optimized CoSb2Br structure.

Lattice parameters (Å, degrees): 8.213 6.228 3.197 63.19 107.15 137.31
Sites, in units of the cell vectors:
Br  0.000  0.500  0.500
Co  0.500  0.500  0.000
Sb  0.000  0.000  0.000
Sb  0.500  0.000  0.500

Summary:
Total magnetic moment in μB/f.u.: 1.33
ΔE_f (raw) in eV per atom: 0.4320
Energy in eV/atom: -3.824

=====

Record 3
The following is a DFT calculation (PBE-GGA) of a geometry-optimized CoSb2Br structure.

Lattice parameters (Å, degrees): 5.236 5.236 5.236 127.17 127.17 77.97
Sites, in units of the cell vectors:
Br  0.250  0.750  0.500
Co  0.750  0.250  0.500
Sb  0.000  0.000  0.000
Sb  0.500  0.500  0.000

Summary:
Total magnetic moment in μB/f.u.: 1.38
ΔE_f (raw) in eV per atom: 0.5985
Energy in eV/atom: -3.657

=====

Record 4
The following is a DFT calculation (PBE-GGA) of a geometry-optimized CoSb2Br structure.

Lattice parameters (Å, degrees): 3.129 3.333 8.606 90.00 90.00 90.00
Sites, in units of the cell vectors:
Br  0.500  0.500  0.250
Co  0.500  0.500  0.750
Sb  0.000  0.000  0.932
Sb  0.000  0.000  0.568

Summary:
Total magnetic moment in μB/f.u.: 0.60
ΔE_f (raw) in eV per atom: 0.0617
Energy in eV/atom: -4.194

=====

Record 5
The following is a DFT calculation (PBE-GGA) of a geometry-optimized CoSb2Br structure.

Lattice parameters (Å, degrees): 9.203 9.203 9.203 22.16 22.16 22.16
Sites, in units of the cell vectors:
Br  0.465  0.465  0.465
Co  0.746  0.746  0.746
Sb  0.024  0.024  0.024
Sb  0.265  0.265  0.265

Summary:
Total magnetic moment in μB/f.u.: 0.53
ΔE_f (raw) in eV per atom: 0.0806
Energy in eV/atom: -4.175

=====

Record 6
The following is a DFT calculation (PBE-GGA) of a geometry-optimized CoSb2Br structure.

Lattice parameters (Å, degrees): 4.966 4.966 4.966 60.00 60.00 60.00
Sites, in units of the cell vectors:
Sb  0.250  0.250  0.250
Sb  0.750  0.750  0.750
Co  0.000  0.000  0.000
Br  0.500  0.500  0.500

Summary:
Total magnetic moment in μB/f.u.: 0.91
ΔE_f (raw) in eV per atom: 0.6276
Energy in eV/atom: -3.628

=====

Record order is preserved below.
Relative energy among the computed polymorphs: 0.2352 0.5795 0.7459 0.2092 0.2281 0.7751 eV/atom